! Ta4Mo3 | the Alexandria database | PBE-GGA | optimized geometry; values from VASP
! ΔE to the lowest computed polymorph, meV/atom: 78
! ΔE_f, meV per atom: -101
! Total moment, μB/f.u.: 0.00
&SYSTEM
  ibrav = 0, nat = 7, ntyp = 2
/
ATOMIC_SPECIES
Mo 95.94 Mo.upf
Ta 180.95 Ta.upf
CELL_PARAMETERS angstrom
9.5233 -0.0011 0.0178
8.4317 4.4272 0.0178
0.3087 0.0761 2.8379
ATOMIC_POSITIONS crystal
Mo 0.9982 0.9982 0.9926
Mo 0.4282 0.4282 0.7215
Mo 0.2880 0.2880 0.1391
Ta 0.8593 0.8593 0.4167
Ta 0.7158 0.7158 0.8760
Ta 0.1418 0.1418 0.5739
Ta 0.5686 0.5686 0.2801



! SrMn2Re | the Alexandria database | PBE-GGA | optimized geometry; values from VASP
! ΔE to the lowest computed polymorph, meV/atom: 193
! ΔE_f, meV per atom: 748
! Total moment, μB/f.u.: 4.44
&SYSTEM
  ibrav = 0, nat = 4, ntyp = 3
/
ATOMIC_SPECIES
Mn 54.94 Mn.upf
Re 186.21 Re.upf
Sr 87.62 Sr.upf
CELL_PARAMETERS angstrom
6.5585 0.7375 -0.5373
3.8753 5.3423 0.5373
-4.7407 -3.8571 2.5485
ATOMIC_POSITIONS crystal
Mn 0.9729 0.9729 0.0000
Mn 0.3514 0.8514 0.5000
Re 0.4660 0.4660 0.0000
Sr 0.7097 0.2097 0.5000